A geometry-optimized TbAl4PtAu2 structure, computed with PBE.

Calculated values
Total magnetization: 0.00 μB/atom
VASP energy: -4.688 eV/atom
E_form: -0.664 eV per atom

CIF file:
```
data_TbAl4PtAu2
_symmetry_space_group_name_H-M 'R -3 m'
_symmetry_Int_Tables_number 166
_symmetry_space_group_name_Hall '-R 3 2"'
_cell_length_a 4.3116
_cell_length_b 4.3116
_cell_length_c 28.6751
_cell_angle_alpha 90.00
_cell_angle_beta 90.00
_cell_angle_gamma 120.00
loop_
_atom_site_label
_atom_site_type_symbol
_atom_site_fract_x
_atom_site_fract_y
_atom_site_fract_z
_atom_site_occupancy
Tb1 Tb 0.0000 0.0000 0.0000 1
Al1 Al 0.0000 0.0000 0.1356 1
Al2 Al 0.0000 0.0000 0.4118 1
Pt1 Pt 0.0000 0.0000 0.5000 1
Au1 Au 0.0000 0.0000 0.2714 1
```